The following is a meta-GGA SCAN calculation of TlAgBr2 at its PBEsol-relaxed geometry, from Alexandria via LeMat-Bulk.

Formation energy from raw total energies ... -0.5668 eV/atom
Final energy ... -36.228 eV per atom

Lattice parameters (Å, degrees): 3.738 3.928 7.990 104.23 103.53 90.00
Fractional positions:
1 Br 0.726 0.226 0.451
2 Br 0.935 0.935 0.871
3 Tl 0.548 0.548 0.096
4 Ag 0.291 0.791 0.582